DFT (PBE-GGA) results for an optimized crystal structure of SrCoPd.

```
SrCoPd
1.0
6.637 0.000 0.000
0.000 6.637 0.000
0.000 0.000 6.637
Sr Co Pd
4 4 4
Cartesian
0.000 0.000 0.000 Sr
0.000 3.318 3.318 Sr
3.318 0.000 3.318 Sr
3.318 3.318 0.000 Sr
0.000 0.000 3.318 Co
0.000 3.318 0.000 Co
3.318 0.000 0.000 Co
3.318 3.318 3.318 Co
1.659 1.659 4.978 Pd
1.659 4.978 1.659 Pd
4.978 1.659 1.659 Pd
4.978 4.978 4.978 Pd
```

Summary:
DFT total energy (eV/atom): -4.283
Symmetry: F-43m
Mass density (Mg/m³): 5.75